[1]
## YTcAs2 (GGA-PBE)

Data for an optimized crystal structure of YTcAs2.

```
YTcAs2
1.0
-0.8392 1.5234 -4.3868
-2.7007 -2.5531 -2.9081
-4.3027 1.5362 -1.1817
Y As Tc
1 2 1
Direct
0.7500 0.7500 0.7500
0.0000 0.0000 0.0000
0.2500 0.2500 0.2500
0.5000 0.5000 0.5000
```

The calculation puts the total energy at -26.11 eV for the cell shown. Its formation energy is 0.005 eV per atom. For the energy above the lowest structure with this stoichiometry, the calculation gives 617 meV per atom. The symmetry is F-43m, No. 216.

***

[2]
## Y2TcAs2 (GGA-PBE)

Data for an optimized crystal structure of Y2TcAs2.

```
Y2TcAs2
1.0
-4.6877 2.4139 -4.3418
-3.5931 -5.7699 0.6715
-2.1577 1.7265 3.2894
Y As Tc
4 4 2
Direct
0.1723 0.6723 0.5000
0.6723 0.8277 0.5000
0.8277 0.3277 0.5000
0.3277 0.1723 0.5000
0.3583 0.8583 0.0000
0.8583 0.6417 0.0000
0.6417 0.1417 0.0000
0.1417 0.3583 0.0000
0.0000 0.0000 0.0000
0.5000 0.5000 0.0000
```

The calculation puts the total energy at -73.65 eV for the cell shown. Its formation energy is -0.846 eV per atom. The symmetry is P4/mbm, No. 127.